This record from Alexandria via LeMat-Bulk describes a relaxed GaCoF5 crystal. The functional is PBE+U.

## Properties
Its total energy is -4.857 eV/atom.

Lattice parameters (Å, degrees): 5.266 5.266 7.465 69.41 69.41 72.44
Element x y z (fractional)
Ga1 0.000 0.000 0.000
Ga2 0.000 0.000 0.500
Co1 0.524 0.476 0.250
Co2 0.476 0.524 0.750
F1 0.801 0.713 0.132
F2 0.270 0.673 0.464
F3 0.713 0.801 0.632
F4 0.901 0.099 0.250
F5 0.327 0.730 0.036
F6 0.673 0.270 0.964
F7 0.099 0.901 0.750
F8 0.287 0.199 0.368
F9 0.730 0.327 0.536
F10 0.199 0.287 0.868